Entry 1:
10
Lattice="8.2124 -2.2868 0.0000 8.2124 2.2868 0.0000 -2.1809 0.0000 6.7530" Properties=species:S:1:pos:R:3 comment="Ce5PmOs4 (PBE, relaxed)" e_form_kcal_per_mol_atoms=-2.04 crystal_system=monoclinic space_group="No. 12" pbc="T T T"
Ce 0.0000 0.0000 0.0000
Ce 4.3319 0.0000 3.4598
Ce 5.4752 0.0000 0.1314
Ce 8.7685 0.0000 6.6216
Ce 9.9119 0.0000 3.2932
Pm -1.0905 0.0000 3.3765
Os 1.5716 0.0000 4.9488
Os 6.2332 0.0000 5.3206
Os 8.0106 0.0000 1.4324
Os 12.6722 0.0000 1.8042

***

Entry 2:
4
Lattice="3.6951 0.0000 0.0000 0.0000 1.8573 6.8822 0.0000 -1.8573 6.8822" Properties=species:S:1:pos:R:3 comment="Sc2AsBr (PBE, relaxed)" e_form_raw_kj_per_mol_fu=-415.9 crystal_system=orthorhombic space_group="No. 38" pbc="T T T"
Sc 0.0000 0.0000 0.0000
Sc 1.8476 0.0000 2.6624
As 1.8476 0.0000 7.5674
Br 0.0000 0.0000 10.9316

***

Entry 3:
5
Lattice="4.6981 0.0000 0.0000 0.0000 4.6981 0.0000 0.0000 0.0000 3.7596" Properties=species:S:1:pos:R:3 comment="Ga2CuBF (PBE, relaxed)" e_form_raw_kj_per_mol_fu=23.2 crystal_system=tetragonal space_group="No. 123" pbc="T T T"
Ga 0.0000 2.3491 0.0000
Ga 2.3491 0.0000 0.0000
Cu 0.0000 0.0000 0.0000
B 0.0000 0.0000 1.8798
F 2.3491 2.3491 1.8798

***

Entry 4:
5
Lattice="4.6968 0.0000 0.0000 0.0000 4.6968 0.0000 0.0000 0.0000 4.6968" Properties=species:S:1:pos:R:3 comment="Li3HgRh (PBE, relaxed)" e_form_kcal_per_mol_atoms=11.56 crystal_system=cubic relative_energy_kj_per_mol_atoms=64.2 space_group="No. 221" pbc="T T T"
Li 0.0000 0.0000 2.3484
Li 0.0000 2.3484 0.0000
Li 2.3484 0.0000 0.0000
Hg 0.0000 0.0000 0.0000
Rh 2.3484 2.3484 2.3484